Arrangement A

Below is crystalline Mg7Sb at its relaxed geometry, with properties calculated at the PBE level.

Geometry as POSCAR:
```
Mg7Sb
1.0
0.0000 4.5176 4.5176
4.5176 0.0000 4.5176
4.5176 4.5176 0.0000
Mg Sb
7 1
direct
0.0000 0.0000 0.0000
0.0000 0.0000 0.5000
0.0000 0.5000 0.0000
0.0000 0.5000 0.5000
0.5000 0.0000 0.0000
0.5000 0.0000 0.5000
0.5000 0.5000 0.0000
0.5000 0.5000 0.5000
```

Summary:
Space group: Fm-3m

Arrangement B

Below is crystalline Mg7Sb at its relaxed geometry, with properties calculated at the PBE level.

Geometry as POSCAR:
```
Mg7Sb
1.0
6.4819 0.0000 0.0000
-3.2410 5.6135 0.0000
0.0000 0.0000 5.0782
Mg Sb
7 1
direct
0.0000 0.0000 0.0000
0.3305 0.1653 0.5000
0.5061 0.0122 0.0000
0.5061 0.4939 0.0000
0.8347 0.1653 0.5000
0.8347 0.6695 0.5000
0.9878 0.4939 0.0000
0.3333 0.6667 0.5000
```

Summary:
Space group: P-6m2

Which structure is the least stable? The one labeled arrangement B.

Arrangement A

Below is crystalline Mg3Sb2 at its relaxed geometry, with properties calculated at the PBE level.

Geometry as POSCAR:
```
Mg3Sb2
1.0
3.7113 2.1427 5.8246
-3.7113 2.1427 5.8246
0.0000 -4.2854 5.8246
Mg Sb
6 4
direct
0.0098 0.7500 0.4902
0.2500 0.5098 0.9902
0.4902 0.0098 0.7500
0.5098 0.9902 0.2500
0.7500 0.4902 0.0098
0.9902 0.2500 0.5098
0.1204 0.1204 0.1204
0.3796 0.3796 0.3796
0.6204 0.6204 0.6204
0.8796 0.8796 0.8796
```

Summary:
Space group: R-3c

Arrangement B

Below is crystalline Mg3Sb2 at its relaxed geometry, with properties calculated at the PBE level.

Geometry as POSCAR:
```
Mg3Sb2
1.0
8.8081 -2.2396 0.0000
8.8081 2.2396 0.0000
-2.1236 0.0000 10.5876
Mg Sb
9 6
direct
0.0000 0.0000 0.0000
0.0300 0.0300 0.6623
0.2905 0.2905 0.3866
0.3200 0.3200 0.0217
0.3739 0.3739 0.7165
0.6261 0.6261 0.2835
0.6800 0.6800 0.9783
0.7095 0.7095 0.6134
0.9700 0.9700 0.3377
0.1317 0.1317 0.4831
0.1898 0.1898 0.1473
0.4658 0.4658 0.1751
0.5342 0.5342 0.8249
0.8102 0.8102 0.8527
0.8683 0.8683 0.5169
```

Summary:
Space group: C2/m

Which structure is the least stable? The one labeled arrangement A.

Arrangement A

Below is crystalline Mg3Sb2 at its relaxed geometry, with properties calculated at the PBE level.

Geometry as POSCAR:
```
Mg3Sb2
1.0
4.6032 0.0000 0.0000
-2.3016 3.9865 0.0000
0.0000 0.0000 7.2749
Mg Sb
3 2
direct
0.0000 0.0000 0.0000
0.3333 0.6667 0.3676
0.6667 0.3333 0.6324
0.3333 0.6667 0.7746
0.6667 0.3333 0.2254
```

Summary:
Space group: P-3m1

Arrangement B

Below is crystalline Mg3Sb2 at its relaxed geometry, with properties calculated at the PBE level.

Geometry as POSCAR:
```
Mg3Sb2
1.0
-6.7124 6.7124 6.7124
6.7124 -6.7124 6.7124
6.7124 6.7124 -6.7124
Mg Sb
24 16
direct
0.0057 0.0224 0.2618
0.0166 0.4943 0.7561
0.0224 0.2618 0.0057
0.2382 0.2606 0.7439
0.2394 0.4776 0.4834
0.2439 0.9834 0.5057
0.2561 0.7618 0.7394
0.2606 0.7439 0.2382
0.2618 0.0057 0.0224
0.4776 0.4834 0.2394
0.4834 0.2394 0.4776
0.4943 0.7561 0.0166
0.5057 0.2439 0.9834
0.5166 0.7606 0.5224
0.5224 0.5166 0.7606
0.7382 0.9943 0.9776
0.7394 0.2561 0.7618
0.7439 0.2382 0.2606
0.7561 0.0166 0.4943
0.7606 0.5224 0.5166
0.7618 0.7394 0.2561
0.9776 0.7382 0.9943
0.9834 0.5057 0.2439
0.9943 0.9776 0.7382
0.0000 0.0000 0.5000
0.0000 0.5000 0.0000
0.0154 0.7500 0.7654
0.2346 0.9846 0.2500
0.2500 0.2346 0.9846
0.2500 0.7346 0.4846
0.2654 0.5154 0.7500
0.4846 0.2500 0.7346
0.5000 0.0000 0.0000
0.5000 0.5000 0.5000
0.5154 0.7500 0.2654
0.7346 0.4846 0.2500
0.7500 0.2654 0.5154
0.7500 0.7654 0.0154
0.7654 0.0154 0.7500
0.9846 0.2500 0.2346
```

Summary:
Space group: Ia-3

Which structure is the least stable? The one labeled arrangement A.

Arrangement A

Below is crystalline MgSc2Sb2 at its relaxed geometry, with properties calculated at the PBE level.

Geometry as POSCAR:
```
MgSc2Sb2
1.0
7.9776 0.0000 0.0000
0.0000 7.9776 0.0000
0.0000 0.0000 3.8193
Mg Sc Sb
2 4 4
direct
0.0000 0.0000 0.0000
0.5000 0.5000 0.0000
0.1398 0.3602 0.0000
0.3602 0.8602 0.0000
0.6398 0.1398 0.0000
0.8602 0.6398 0.0000
0.1632 0.6632 0.5000
0.3368 0.1632 0.5000
0.6632 0.8368 0.5000
0.8368 0.3368 0.5000
```

Summary:
Space group: P4/mbm

Arrangement B

Below is crystalline MgSc2Sb2 at its relaxed geometry, with properties calculated at the PBE level.

Geometry as POSCAR:
```
MgSc2Sb2
1.0
7.8157 0.0000 0.0000
0.0000 7.8157 0.0000
0.0000 0.0000 3.8917
Mg Sc Sb
2 4 4
direct
0.0000 0.0000 0.0000
0.5000 0.5000 0.0000
0.1491 0.3509 0.5000
0.3509 0.8509 0.5000
0.6491 0.1491 0.5000
0.8509 0.6491 0.5000
0.1534 0.6534 0.0000
0.3466 0.1534 0.0000
0.6534 0.8466 0.0000
0.8466 0.3466 0.0000
```

Summary:
Space group: P4/mbm

Which structure is the least stable? The one labeled arrangement A.

Arrangement A

Below is crystalline MgSc2Sb at its relaxed geometry, with properties calculated at the PBE level.

Geometry as POSCAR:
```
MgSc2Sb
1.0
7.1674 0.0000 0.0000
0.0000 7.1674 0.0000
0.0000 0.0000 7.1674
Mg Sc Sb
4 8 4
direct
0.0000 0.0000 0.0000
0.0000 0.5000 0.5000
0.5000 0.0000 0.5000
0.5000 0.5000 0.0000
0.0000 0.0000 0.5000
0.0000 0.5000 0.0000
0.2500 0.2500 0.7500
0.2500 0.7500 0.2500
0.5000 0.0000 0.0000
0.5000 0.5000 0.5000
0.7500 0.2500 0.2500
0.7500 0.7500 0.7500
0.2500 0.2500 0.2500
0.2500 0.7500 0.7500
0.7500 0.2500 0.7500
0.7500 0.7500 0.2500
```

Summary:
Space group: F-43m

Arrangement B

Below is crystalline MgSc2Sb at its relaxed geometry, with properties calculated at the PBE level.

Geometry as POSCAR:
```
MgSc2Sb
1.0
3.8808 0.0000 0.0000
-1.9404 3.3609 0.0000
0.0000 0.0000 24.3994
Mg Sc Sb
3 6 3
direct
0.0000 0.0000 0.0000
0.3333 0.6667 0.6667
0.6667 0.3333 0.3333
0.0000 0.0000 0.2391
0.0000 0.0000 0.7609
0.3333 0.6667 0.4275
0.3333 0.6667 0.9058
0.6667 0.3333 0.0942
0.6667 0.3333 0.5725
0.0000 0.0000 0.5000
0.3333 0.6667 0.1667
0.6667 0.3333 0.8333
```

Summary:
Space group: R-3m

Which structure is the least stable? The one labeled arrangement A.

Arrangement A

Below is crystalline MgSc2Sb at its relaxed geometry, with properties calculated at the PBE level.

Geometry as POSCAR:
```
MgSc2Sb
1.0
5.1410 0.0000 0.0000
0.0000 3.4366 0.0000
-2.3181 0.0000 5.3879
Mg Sc Sb
1 2 1
direct
0.0000 0.0000 0.0000
0.5000 0.0000 0.5000
0.5000 0.5000 0.0000
0.0000 0.5000 0.5000
```

Summary:
Space group: P2/m

Arrangement B

Below is crystalline MgSc2Sb at its relaxed geometry, with properties calculated at the PBE level.

Geometry as POSCAR:
```
MgSc2Sb
1.0
4.2357 0.0000 0.0000
0.0000 4.2357 0.0000
0.0000 0.0000 10.1535
Mg Sc Sb
2 4 2
direct
0.0000 0.0000 0.0000
0.5000 0.5000 0.5000
0.0000 0.0000 0.5000
0.0000 0.5000 0.2500
0.5000 0.0000 0.7500
0.5000 0.5000 0.0000
0.0000 0.5000 0.7500
0.5000 0.0000 0.2500
```

Summary:
Space group: I-4m2

Which structure is the least stable? The one labeled arrangement A.